No. 1
Dy4Sn2C: optimized geometry, PBE.

Results
As for the polymorph energy (0 for the lowest one): 1.131 eV per formula unit. Its space group is No. 11. The magnetic moment is 0.00 μB/cell. For the formation energy, the calculation gives -0.499 eV/atom.

Cell lengths 6.482, 6.707, 9.312 Å; angles 90.00, 111.26, 90.00 degrees
Fractional coordinates of all 14 atoms:
Dy (0.513, 0.501, 0.270)
Dy (0.113, 0.750, 0.939)
Dy (0.887, 0.250, 0.061)
Dy (0.513, 0.999, 0.270)
Dy (0.931, 0.250, 0.652)
Dy (0.487, 0.001, 0.730)
Dy (0.487, 0.499, 0.730)
Dy (0.069, 0.750, 0.348)
Sn (0.686, 0.750, 0.034)
Sn (0.314, 0.250, 0.966)
Sn (0.195, 0.250, 0.420)
Sn (0.805, 0.750, 0.580)
C (0.272, 0.750, 0.197)
C (0.728, 0.250, 0.803)


No. 2
Cs3H5Pd: optimized geometry, PBE.

Results
As for the polymorph energy (0 for the lowest one): 2.068 eV per formula unit. Its space group is No. 140. The magnetic moment is 3.62 μB/cell.

Cell lengths 8.247, 8.247, 8.702 Å; angles 118.28, 118.28, 90.00 degrees
Each line ends with the local moment (μB).
Fractional coordinates of all 18 atoms:
Cs (0.688, 0.188, 0.000)  0.02
Cs (0.312, 0.812, 0.000)  0.02
Cs (0.812, 0.688, 0.000)  0.02
Cs (0.188, 0.312, 0.000)  0.02
Cs (0.250, 0.250, 0.500)  0.03
Cs (0.750, 0.750, 0.500)  0.03
H (0.945, 0.445, 0.696)  0.05
H (0.752, 0.252, 0.696)  0.05
H (0.252, 0.945, 0.696)  0.05
H (0.445, 0.752, 0.696)  0.05
H (0.055, 0.555, 0.304)  0.05
H (0.248, 0.748, 0.304)  0.05
H (0.748, 0.055, 0.304)  0.05
H (0.555, 0.248, 0.304)  0.05
H (0.500, 0.500, 0.000)  0.00
H (0.000, 0.000, 0.000)  0.00
Pd (0.750, 0.250, 0.500)  0.55
Pd (0.250, 0.750, 0.500)  0.55


No. 3
Sm2Ho3Tm5: optimized geometry, PBE.

Results
As for the polymorph energy (0 for the lowest one): 0.000 eV per formula unit. Its space group is No. 15. The magnetic moment is 0.00 μB/cell. For the formation energy, the calculation gives 0.200 eV/atom.

Cell lengths 9.363, 9.392, 11.016 Å; angles 125.66, 125.60, 68.37 degrees
Fractional coordinates of all 20 atoms:
Sm (0.776, 0.016, 0.745)
Sm (0.224, 0.984, 0.255)
Sm (0.469, 0.729, 0.745)
Sm (0.531, 0.271, 0.255)
Ho (0.229, 0.979, 0.957)
Ho (0.771, 0.021, 0.043)
Ho (0.728, 0.467, 0.246)
Ho (0.272, 0.533, 0.754)
Ho (0.018, 0.778, 0.246)
Ho (0.982, 0.222, 0.754)
Tm (0.276, 0.526, 0.051)
Tm (0.724, 0.474, 0.949)
Tm (0.020, 0.770, 0.540)
Tm (0.524, 0.274, 0.547)
Tm (0.980, 0.230, 0.460)
Tm (0.476, 0.726, 0.453)
Tm (0.869, 0.614, 0.756)
Tm (0.131, 0.386, 0.244)
Tm (0.387, 0.142, 0.756)
Tm (0.613, 0.858, 0.244)


No. 4
SnTe2Br8: optimized geometry, PBE.

Results
Its space group is No. 12. The magnetic moment is 2.05 μB/cell. The formation energy (no corrections) is -0.293 eV per atom.

Cell lengths 8.045, 8.543, 8.543 Å; angles 61.12, 111.25, 111.25 degrees
Each line ends with the local moment (μB).
Fractional coordinates of all 11 atoms:
Sn (0.000, 0.000, 0.000)  0.01
Te (0.564, 0.140, 0.140)  0.37
Te (0.436, 0.860, 0.860)  0.37
Br (0.248, 0.169, 0.746)  0.10
Br (0.248, 0.746, 0.169)  0.10
Br (0.752, 0.831, 0.254)  0.10
Br (0.165, 0.693, 0.693)  0.06
Br (0.752, 0.254, 0.831)  0.10
Br (0.321, 0.218, 0.218)  0.03
Br (0.679, 0.782, 0.782)  0.03
Br (0.835, 0.307, 0.307)  0.06


No. 5
Na2Cd3F8: optimized geometry, PBE.

Results
Its space group is No. 12. The magnetic moment is 0.00 μB/cell. The formation energy (no corrections) is -2.343 eV per atom.

Cell lengths 5.920, 6.522, 6.522 Å; angles 63.19, 78.31, 78.31 degrees
Fractional coordinates of all 13 atoms:
Na (0.411, 0.706, 0.706)
Na (0.589, 0.294, 0.294)
Cd (0.500, 0.000, 0.000)
Cd (0.000, 0.743, 0.257)
Cd (0.000, 0.257, 0.743)
F (0.868, 0.402, 0.402)
F (0.132, 0.598, 0.598)
F (0.881, 0.897, 0.897)
F (0.119, 0.103, 0.103)
F (0.630, 0.342, 0.900)
F (0.630, 0.900, 0.342)
F (0.370, 0.100, 0.658)
F (0.370, 0.658, 0.100)


No. 6
BaCuOF2: optimized geometry, PBE.

Results
As for the polymorph energy (0 for the lowest one): 5.190 eV per formula unit. Its space group is No. 123. The magnetic moment is 0.00 μB/cell. The formation energy (no corrections) is -1.215 eV per atom.

Cell lengths 5.023, 5.023, 4.535 Å; angles 90.00, 90.00, 90.00 degrees
Fractional coordinates of all 5 atoms:
O (0.000, 0.000, 0.500)
Ba (0.000, 0.000, 0.000)
Cu (0.500, 0.500, 0.500)
F (0.000, 0.500, 0.000)
F (0.500, 0.000, 0.000)


No. 7
Ac2Nd8Sm: optimized geometry, PBE.

Results
As for the polymorph energy (0 for the lowest one): 0.266 eV per formula unit. Its space group is No. 12. The magnetic moment is 0.00 μB/cell. For the formation energy, the calculation gives 0.180 eV/atom.

Cell lengths 5.781, 10.711, 10.711 Å; angles 39.24, 93.13, 93.13 degrees
Fractional coordinates of all 11 atoms:
Ac (0.743, 0.281, 0.281)
Ac (0.257, 0.719, 0.719)
Nd (0.267, 0.141, 0.612)
Nd (0.267, 0.612, 0.141)
Nd (0.733, 0.859, 0.388)
Nd (0.236, 0.544, 0.544)
Nd (0.733, 0.388, 0.859)
Nd (0.226, 0.176, 0.176)
Nd (0.774, 0.824, 0.824)
Nd (0.764, 0.456, 0.456)
Sm (0.000, 0.000, 0.000)


No. 8
Ba2AgW: optimized geometry, PBE.

Results
As for the polymorph energy (0 for the lowest one): 0.881 eV per formula unit. Its space group is No. 12. The magnetic moment is 2.74 μB/cell. For the formation energy, the calculation gives 1.116 eV/atom.

Cell lengths 4.675, 4.675, 9.059 Å; angles 82.15, 82.15, 45.04 degrees
Each line ends with the local moment (μB).
Fractional coordinates of all 4 atoms:
Ag (0.250, 0.250, 0.250)  0.01
Ba (0.006, 0.006, 0.986)  0.04
Ba (0.494, 0.494, 0.514)  0.04
W (0.750, 0.750, 0.750)  2.01


No. 9
Sm4GeSe3: optimized geometry, PBE.

Results
Its space group is No. 65. The magnetic moment is 0.00 μB/cell. The formation energy (no corrections) is -1.655 eV per atom.

Cell lengths 4.197, 7.287, 7.287 Å; angles 109.44, 90.00, 90.00 degrees
Fractional coordinates of all 8 atoms:
Ge (0.500, 0.000, 0.000)
Se (0.000, 0.000, 0.500)
Se (0.500, 0.500, 0.500)
Se (0.000, 0.500, 0.000)
Sm (0.000, 0.241, 0.241)
Sm (0.500, 0.756, 0.244)
Sm (0.000, 0.759, 0.759)
Sm (0.500, 0.244, 0.756)


No. 10
La2ZrInFe: optimized geometry, PBE.

Results
Its space group is No. 123. The magnetic moment is 0.00 μB/cell. For the formation energy, the calculation gives -0.040 eV/atom.

Cell lengths 5.099, 5.147, 5.099 Å; angles 90.00, 90.00, 90.00 degrees
Fractional coordinates of all 5 atoms:
In (0.500, 0.500, 0.500)
Fe (0.000, 0.000, 0.000)
Zr (0.000, 0.500, 0.000)
La (0.000, 0.000, 0.500)
La (0.500, 0.000, 0.000)


No. 11
Re2PSe: optimized geometry, PBE.

Results
As for the polymorph energy (0 for the lowest one): 1.193 eV per formula unit. Its space group is No. 225. The magnetic moment is 0.00 μB/cell. The formation energy (no corrections) is 0.328 eV per atom.

Cell lengths 4.305, 4.305, 4.305 Å; angles 60.00, 60.00, 60.00 degrees
Fractional coordinates of all 4 atoms:
Re (0.250, 0.250, 0.250)
Re (0.750, 0.750, 0.750)
Se (0.500, 0.500, 0.500)
P (0.000, 0.000, 0.000)


No. 12
TcAgRu2: optimized geometry, PBE.

Results
As for the polymorph energy (0 for the lowest one): 1.411 eV per formula unit. Its space group is No. 44. The magnetic moment is 0.00 μB/cell. For the formation energy, the calculation gives 0.548 eV/atom.

Cell lengths 5.564, 5.564, 5.564 Å; angles 151.27, 130.90, 57.88 degrees
Fractional coordinates of all 4 atoms:
Ag (0.247, 0.747, 0.500)
Ru (0.973, 0.973, 0.000)
Ru (0.751, 0.251, 0.500)
Tc (0.529, 0.529, 0.000)